VASP calculation (PBE-GGA) on a relaxed structure of Pm3Ge6Pd5.

Lattice parameters (Å, degrees): 4.350 12.856 9.543 90.00 90.00 90.00
Space group Pmmn (No. 59, origin choice 2)
Unique sites:
Pm: 0.250 0.056 0.246
Pm: 0.250 0.750 0.255
Ge: 0.250 0.082 0.883
Ge: 0.250 0.250 0.047
Ge: 0.250 0.250 0.448
Ge: 0.250 0.599 0.528
Pd: 0.250 0.095 0.614
Pd: 0.250 0.622 0.979
Pd: 0.250 0.750 0.724

Values from the calculation:
E_tot	-5.589	eV/atom